No. 1
Computed, not measured: LaAg3Os after structural relaxation at the GGA-PBE level of DFT.

## Properties
E   -4.20 eV per atom
Calculated density   8.44 Mg/m³
Energy relative to the elements   0.75 eV/atom
Offset from the most stable computed form   0 meV per atom

Unit cell a=5.046 b=5.046 c=5.046 alpha=90.00 beta=90.00 gamma=90.00
Space group Pm-3m (No. 221)
Symmetry-distinct sites (fractional):
1 La 0.000 0.000 0.000 (multiplicity 1)
2 Ag 0.000 0.500 0.500 (multiplicity 3)
3 Os 0.500 0.500 0.500 (multiplicity 1)


No. 2
Computed, not measured: LaAg3Os after structural relaxation at the GGA-PBE level of DFT.

## Properties
E   -2.69 eV per atom
Calculated density   7.45 Mg/m³
Energy relative to the elements   2.25 eV/atom
Offset from the most stable computed form   1506 meV per atom

Unit cell a=5.259 b=5.259 c=5.259 alpha=90.00 beta=90.00 gamma=90.00
Space group Pm-3m (No. 221)
Symmetry-distinct sites (fractional):
1 La 0.000 0.000 0.000 (multiplicity 1)
2 Ag 0.000 0.000 0.500 (multiplicity 3)
3 Os 0.500 0.500 0.500 (multiplicity 1)


No. 3
Computed, not measured: La12Ag6Os after structural relaxation at the GGA-PBE level of DFT.

## Properties
E   -4.71 eV per atom
Calculated density   6.85 Mg/m³
Energy relative to the elements   -0.10 eV/atom

Unit cell a=12.3847 b=12.3847 c=13.7193 alpha=90.00 beta=90.00 gamma=120.00
Space group R-3 (No. 148, hexagonal axes)
Symmetry-distinct sites (fractional):
1 La 0.0391 0.8443 0.3752 (multiplicity 18)
2 La 0.0431 0.1957 0.8873 (multiplicity 18)
3 Ag 0.0042 0.4030 0.7577 (multiplicity 18)
4 Os 0.0000 0.0000 0.5000 (multiplicity 3)


No. 4
Computed, not measured: La2AgOs2 after structural relaxation at the GGA-PBE level of DFT.

## Properties
E   -6.92 eV per atom
Calculated density   10.77 Mg/m³
Energy relative to the elements   0.11 eV/atom

Unit cell a=7.270 b=7.270 c=4.468 alpha=90.00 beta=90.00 gamma=90.00
Space group P4/mbm (No. 127)
Symmetry-distinct sites (fractional):
1 La 0.182 0.318 0.000 (multiplicity 4)
2 Ag 0.000 0.000 0.500 (multiplicity 2)
3 Os 0.116 0.616 0.500 (multiplicity 4)


No. 5
Computed, not measured: La4Ag2Os after structural relaxation at the GGA-PBE level of DFT.

## Properties
E   -5.43 eV per atom
Calculated density   7.36 Mg/m³
Energy relative to the elements   -0.19 eV/atom
Offset from the most stable computed form   0 meV per atom

Unit cell a=15.348 b=4.500 c=6.457 alpha=90.00 beta=103.34 gamma=90.00
Space group C2/m (No. 12)
Symmetry-distinct sites (fractional):
1 La 0.076 0.000 0.269 (multiplicity 4)
2 La 0.149 0.500 0.820 (multiplicity 4)
3 Ag 0.234 0.500 0.352 (multiplicity 4)
4 Os 0.000 0.500 0.000 (multiplicity 2)


No. 6
Computed, not measured: LaPmAgOs after structural relaxation at the GGA-PBE level of DFT.

## Properties
E   -6.06 eV per atom
Calculated density   10.11 Mg/m³
Energy relative to the elements   -0.12 eV/atom

Unit cell a=7.258 b=7.258 c=7.258 alpha=90.00 beta=90.00 gamma=90.00
Space group F-43m (No. 216)
Symmetry-distinct sites (fractional):
1 La 0.000 0.000 0.000 (multiplicity 4)
2 Pm 0.000 0.000 0.500 (multiplicity 4)
3 Ag 0.250 0.250 0.750 (multiplicity 4)
4 Os 0.250 0.250 0.250 (multiplicity 4)